1.
The following is a PBE calculation of a geometry-optimized Hf6ReIr structure, from the Alexandria database.

a b c (Å): 4.622 8.125 8.125
angles (deg): 33.04 73.47 73.47
Element x y z (fractional)
1 Hf 0.891 0.609 0.609
2 Hf 0.609 0.891 0.891
3 Hf 0.748 0.252 0.252
4 Hf 0.391 0.109 0.109
5 Hf 0.109 0.391 0.391
6 Hf 0.252 0.748 0.748
7 Re 0.500 0.500 0.500
8 Ir 0.000 0.000 0.000

Computed properties:
Space-group type: No. 139
Formation enthalpy at 0 K in eV/f.u.: -2.6
ρ in kg/m3: 15146
Spin magnetization in μB per formula unit: 0.0
Crystal system: tetragonal



2.
The following is a PBE calculation of a geometry-optimized HfReIr2 structure, from the Alexandria database.

a b c (Å): 4.521 4.521 4.521
angles (deg): 60.00 60.00 60.00
Element x y z (fractional)
1 Re 0.500 0.500 0.500
2 Ir 0.250 0.250 0.250
3 Ir 0.750 0.750 0.750
4 Hf 0.000 0.000 0.000

Computed properties:
Space-group type: No. 225
Formation enthalpy at 0 K in eV/f.u.: -0.1
ρ in kg/m3: 19033
Spin magnetization in μB per formula unit: 0.2
Crystal system: cubic



3.
The following is a PBE calculation of a geometry-optimized HfReIr2 structure, from the Alexandria database.

a b c (Å): 3.918 4.018 4.018
angles (deg): 90.00 90.00 90.00
Element x y z (fractional)
1 Re 0.500 0.000 0.000
2 Ir 0.000 0.000 0.500
3 Ir 0.000 0.500 0.000
4 Hf 0.500 0.500 0.500

Computed properties:
Space-group type: No. 123
Formation enthalpy at 0 K in eV/f.u.: -1.9
ρ in kg/m3: 19665
Spin magnetization in μB per formula unit: 0.0
Crystal system: tetragonal



4.
The following is a PBE calculation of a geometry-optimized HfRe3Ir structure, from the Alexandria database.

a b c (Å): 4.695 4.695 4.695
angles (deg): 90.00 90.00 90.00
Element x y z (fractional)
1 Re 0.000 0.500 0.000
2 Re 0.000 0.000 0.500
3 Re 0.500 0.000 0.000
4 Ir 0.000 0.000 0.000
5 Hf 0.500 0.500 0.500

Computed properties:
Space-group type: No. 221
Formation enthalpy at 0 K in eV/f.u.: 8.5
ρ in kg/m3: 14913
Spin magnetization in μB per formula unit: 0.0
Crystal system: cubic



5.
The following is a PBE calculation of a geometry-optimized Hf3ReIr structure, from the Alexandria database.

a b c (Å): 4.904 4.904 4.904
angles (deg): 90.00 90.00 90.00
Element x y z (fractional)
1 Re 0.500 0.500 0.500
2 Ir 0.000 0.000 0.000
3 Hf 0.000 0.500 0.000
4 Hf 0.000 0.000 0.500
5 Hf 0.500 0.000 0.000

Computed properties:
Space-group type: No. 221
Formation enthalpy at 0 K in eV/f.u.: 4.0
ρ in kg/m3: 12869
Spin magnetization in μB per formula unit: 0.0
Crystal system: cubic



6.
The following is a PBE calculation of a geometry-optimized Hf2ReIr structure, from the Alexandria database.

a b c (Å): 4.228 4.228 9.387
angles (deg): 76.99 76.99 90.00
Element x y z (fractional)
1 Re 0.500 0.500 0.000
2 Re 0.250 0.750 0.500
3 Ir 0.000 0.000 0.000
4 Ir 0.750 0.250 0.500
5 Hf 0.625 0.125 0.250
6 Hf 0.125 0.625 0.250
7 Hf 0.375 0.375 0.750
8 Hf 0.875 0.875 0.750

Computed properties:
Space-group type: No. 122
Formation enthalpy at 0 K in eV/f.u.: 2.0
ρ in kg/m3: 15355
Spin magnetization in μB per formula unit: 0.2
Crystal system: tetragonal



Copy entry 4 word for word.
The following is a PBE calculation of a geometry-optimized HfRe3Ir structure, from the Alexandria database.

a b c (Å): 4.695 4.695 4.695
angles (deg): 90.00 90.00 90.00
Element x y z (fractional)
1 Re 0.000 0.500 0.000
2 Re 0.000 0.000 0.500
3 Re 0.500 0.000 0.000
4 Ir 0.000 0.000 0.000
5 Hf 0.500 0.500 0.500

Computed properties:
Space-group type: No. 221
Formation enthalpy at 0 K in eV/f.u.: 8.5
ρ in kg/m3: 14913
Spin magnetization in μB per formula unit: 0.0
Crystal system: cubic



Copy entry 2 word for word.
The following is a PBE calculation of a geometry-optimized HfReIr2 structure, from the Alexandria database.

a b c (Å): 4.521 4.521 4.521
angles (deg): 60.00 60.00 60.00
Element x y z (fractional)
1 Re 0.500 0.500 0.500
2 Ir 0.250 0.250 0.250
3 Ir 0.750 0.750 0.750
4 Hf 0.000 0.000 0.000

Computed properties:
Space-group type: No. 225
Formation enthalpy at 0 K in eV/f.u.: -0.1
ρ in kg/m3: 19033
Spin magnetization in μB per formula unit: 0.2
Crystal system: cubic



Please write out number 3 again, unchanged.
The following is a PBE calculation of a geometry-optimized HfReIr2 structure, from the Alexandria database.

a b c (Å): 3.918 4.018 4.018
angles (deg): 90.00 90.00 90.00
Element x y z (fractional)
1 Re 0.500 0.000 0.000
2 Ir 0.000 0.000 0.500
3 Ir 0.000 0.500 0.000
4 Hf 0.500 0.500 0.500

Computed properties:
Space-group type: No. 123
Formation enthalpy at 0 K in eV/f.u.: -1.9
ρ in kg/m3: 19665
Spin magnetization in μB per formula unit: 0.0
Crystal system: tetragonal